## Ce3Al2GaCu6 (GGA-PBE)

Data for a relaxed Ce3Al2GaCu6 crystal.

a = 5.2938 Å, b = 5.2938 Å, c = 9.4797 Å
α = 90.00°, β = 90.00°, γ = 120.00°
Last column: nearest neighbours and their distance in Å.
Element x y z (fractional)
Ce: 0.3333 0.6667 0.5994  6 Cu 2.90, 3 Ga 3.20
Ce: 0.6667 0.3333 0.4006  6 Cu 2.90, 3 Ga 3.20
Ce: 0.0000 0.0000 0.0000  6 Cu 3.04, 6 Al 3.11
Al: 0.6667 0.3333 0.9367  3 Cu 2.52
Al: 0.3333 0.6667 0.0633  3 Cu 2.52
Ga: 0.0000 0.0000 0.5000  6 Cu 2.63
Cu: 0.6617 0.8308 0.2760  1 Al 2.52, 4 Cu 2.61-2.69, 1 Ga 2.63
Cu: 0.1691 0.3383 0.2760  1 Al 2.52, 4 Cu 2.61-2.69, 1 Ga 2.63
Cu: 0.1691 0.8308 0.2760  1 Al 2.52, 4 Cu 2.61-2.69, 1 Ga 2.63
Cu: 0.8309 0.6617 0.7240  1 Al 2.52, 4 Cu 2.61-2.69, 1 Ga 2.63
Cu: 0.3383 0.1692 0.7240  1 Al 2.52, 4 Cu 2.61-2.69, 1 Ga 2.63
Cu: 0.8309 0.1692 0.7240  1 Al 2.52, 4 Cu 2.61-2.69, 1 Ga 2.63

Values from the calculation:
As for the space group: P-3m1, No. 164. For the energy of formation, the calculation gives -0.0721 eV per atom. The electronic total energy is -4.4797 eV/atom. The calculation puts the total magnetization at 2.41 μB/f.u.